No. 1
## CaZr2PbO6 (meta-GGA SCAN)

Data for a crystal of CaZr2PbO6 relaxed with PBEsol.

Output
The value obtained for the raw formation energy is -3.149 eV per atom.

Unit cell a=8.168 b=8.169 c=8.169 alpha=89.32 beta=89.32 gamma=89.30
Space group P1 (No. 1)
Asymmetric unit:
1 Ca 0.000 0.000 0.000 x1
2 Ca 0.003 0.493 0.998 x1
3 Ca 0.500 0.499 0.000 x1
4 Ca 0.504 0.993 0.499 x1
5 Zr 0.225 0.217 0.728 x1
6 Zr 0.225 0.722 0.729 x1
7 Zr 0.227 0.723 0.222 x1
8 Zr 0.231 0.224 0.224 x1
9 Zr 0.724 0.221 0.728 x1
10 Zr 0.726 0.718 0.726 x1
11 Zr 0.727 0.225 0.223 x1
12 Zr 0.731 0.724 0.223 x1
13 Pb 0.487 0.489 0.492 x1
14 Pb 0.495 0.983 0.990 x1
15 Pb 0.989 0.991 0.487 x1
16 Pb 0.995 0.485 0.491 x1
17 O 0.164 0.963 0.762 x1
18 O 0.167 0.248 0.969 x1
19 O 0.174 0.468 0.241 x1
20 O 0.179 0.737 0.469 x1
21 O 0.243 0.969 0.172 x1
22 O 0.244 0.463 0.680 x1
23 O 0.257 0.160 0.468 x1
24 O 0.258 0.658 0.969 x1
25 O 0.468 0.751 0.667 x1
26 O 0.470 0.167 0.741 x1
27 O 0.473 0.258 0.161 x1
28 O 0.473 0.674 0.239 x1
29 O 0.661 0.464 0.758 x1
30 O 0.668 0.967 0.254 x1
31 O 0.674 0.739 0.969 x1
32 O 0.679 0.236 0.469 x1
33 O 0.740 0.963 0.678 x1
34 O 0.747 0.671 0.469 x1
35 O 0.758 0.159 0.970 x1
36 O 0.758 0.468 0.164 x1
37 O 0.969 0.237 0.675 x1
38 O 0.969 0.660 0.757 x1
39 O 0.972 0.175 0.242 x1
40 O 0.973 0.753 0.158 x1



No. 2
## BSbSe2N (meta-GGA SCAN)

Data for a crystal of BSbSe2N relaxed with PBEsol.

Output
The value obtained for the raw formation energy is 1.699 eV per atom.

Unit cell a=5.252 b=5.252 c=3.924 alpha=90.00 beta=90.00 gamma=90.00
Space group P4/mmm (No. 123)
Asymmetric unit:
1 B 0.000 0.000 0.000 x1
2 Sb 0.500 0.500 0.500 x1
3 Se 0.000 0.500 0.500 x2
4 N 0.500 0.500 0.000 x1



No. 3
## ZrSc2Cd (meta-GGA SCAN)

Data for a crystal of ZrSc2Cd relaxed with PBEsol.

Output
Its formation enthalpy at 0 K is -0.109 eV per atom.

Unit cell a=3.458 b=4.978 c=10.181 alpha=90.00 beta=90.00 gamma=90.00
Space group Immm (No. 71)
Asymmetric unit:
1 Zr 0.000 0.000 0.000 x2
2 Sc 0.000 0.500 0.233 x4
3 Cd 0.000 0.000 0.500 x2



Number 1: magnetization 0.000 μB per atom. Number 2: magnetization 0.236 μB per atom. Number 3: magnetization 0.000 μB per atom.